Run a
Here is a relaxed structure of CaPmPdPt from Alexandria via LeMat-Bulk. Energies are from PBE. Values from VASP.

The structure in Quantum ESPRESSO input format:
```
&SYSTEM
  ibrav = 0, nat = 4, ntyp = 4
/
ATOMIC_SPECIES
Ca 40.08 Ca.upf
Pm 145.00 Pm.upf
Pd 106.42 Pd.upf
Pt 195.08 Pt.upf
CELL_PARAMETERS angstrom
0.000 3.544 3.544
3.544 0.000 3.544
3.544 3.544 0.000
ATOMIC_POSITIONS angstrom
Ca 0.000 0.000 0.000
Pm 3.544 3.544 3.544
Pd 5.316 5.316 5.316
Pt 1.772 1.772 1.772
```

Properties
* total moment: 0.00 Bohr magnetons per cell
* symmetry: F-43m (216)


Run b
Here is a relaxed structure of CaPmPdPt from Alexandria via LeMat-Bulk. Energies are from PBE. Values from VASP.

The structure in Quantum ESPRESSO input format:
```
&SYSTEM
  ibrav = 0, nat = 4, ntyp = 4
/
ATOMIC_SPECIES
Ca 40.08 Ca.upf
Pm 145.00 Pm.upf
Pd 106.42 Pd.upf
Pt 195.08 Pt.upf
CELL_PARAMETERS angstrom
4.512 0.000 0.000
0.000 1.959 5.357
0.000 -1.959 5.357
ATOMIC_POSITIONS angstrom
Ca 0.000 0.000 0.000
Pm 2.256 0.000 7.736
Pd 0.000 0.000 2.985
Pt 2.256 0.000 4.732
```

Properties
* total moment: 0.00 Bohr magnetons per cell
* symmetry: Amm2 (38)


Stability check: which of them is least stable? run a.


Run a
Here is a relaxed structure of CaPmZnPd from Alexandria via LeMat-Bulk. Energies are from PBE. Values from VASP.

The structure in Quantum ESPRESSO input format:
```
&SYSTEM
  ibrav = 0, nat = 4, ntyp = 4
/
ATOMIC_SPECIES
Ca 40.08 Ca.upf
Pm 145.00 Pm.upf
Zn 65.41 Zn.upf
Pd 106.42 Pd.upf
CELL_PARAMETERS angstrom
4.359 0.000 0.000
0.000 2.006 5.685
0.000 -2.006 5.685
ATOMIC_POSITIONS angstrom
Ca 0.000 0.000 0.000
Pm 2.180 0.000 3.232
Zn 2.180 0.000 6.518
Pd 0.000 0.000 8.165
```

Properties
* total moment: 0.00 Bohr magnetons per cell
* symmetry: Amm2 (38)


Run b
Here is a relaxed structure of CaPmZnPd from Alexandria via LeMat-Bulk. Energies are from PBE. Values from VASP.

The structure in Quantum ESPRESSO input format:
```
&SYSTEM
  ibrav = 0, nat = 4, ntyp = 4
/
ATOMIC_SPECIES
Ca 40.08 Ca.upf
Pm 145.00 Pm.upf
Zn 65.41 Zn.upf
Pd 106.42 Pd.upf
CELL_PARAMETERS angstrom
0.000 3.602 3.602
3.602 0.000 3.602
3.602 3.602 0.000
ATOMIC_POSITIONS angstrom
Ca 0.000 0.000 0.000
Pm 3.602 3.602 3.602
Zn 5.402 5.402 5.402
Pd 1.801 1.801 1.801
```

Properties
* total moment: 0.00 Bohr magnetons per cell
* symmetry: F-43m (216)


Stability check: which of them is least stable? run b.